[1]
16
Lattice="3.3237 1.9189 6.0573 -3.3237 1.9189 6.0573 0.0000 -3.8379 6.0573" Properties=species:S:1:pos:R:3 comment="SrLi3PrN3, optimized geometry, DFT GGA-PBE" total_magnetization_mub_per_fu=0.999 energy_ev_per_atom=-5.01 pbc="T T T"
Li 0.7681 1.3913 8.2549
Li -0.8208 1.3609 9.9170
Li -1.5890 -0.0304 8.2549
Li 1.5890 0.0304 9.9170
Li 0.8208 -1.3609 8.2549
Li -0.7681 -1.3913 9.9170
N -1.0026 1.9155 7.8391
N 1.1576 1.8260 10.3328
N 2.1601 -0.0895 7.8391
N -2.1601 0.0895 10.3328
N -1.1576 -1.8260 7.8391
N 1.0026 -1.9155 10.3328
Pr 0.0000 0.0000 2.3142
Pr 0.0000 0.0000 15.8577
Sr 0.0000 0.0000 5.7956
Sr 0.0000 0.0000 12.3764

=====

[2]
9
Lattice="-0.0724 2.0835 -5.3302 3.9637 -3.8395 1.5182 -2.3379 -2.8398 -1.0783" Properties=species:S:1:pos:R:3 comment="LiPt3N5, optimized geometry, DFT GGA-PBE" total_magnetization_mub_per_fu=0.011 energy_ev_per_atom=-6.08 pbc="T T T"
Li 0.0000 0.0000 0.0000
N 0.8746 -0.3747 -3.2311
N 2.2200 -2.3490 -0.9484
N -1.1689 -1.4199 -0.5392
N -0.6665 -2.2468 -3.9420
N 0.6788 -4.2211 -1.6592
Pt -1.2051 -0.3782 -3.2043
Pt 0.8129 -3.3397 0.2199
Pt 0.7767 -2.2979 -2.4452

=====

[3]
8
Lattice="-0.1716 -3.5568 1.7251 3.1614 0.9132 2.1974 -4.1082 2.5507 4.8505" Properties=species:S:1:pos:R:3 comment="Li4SbPt2N, optimized geometry, DFT GGA-PBE" total_magnetization_mub_per_fu=0.000 energy_ev_per_atom=-4.22 pbc="T T T"
Li 1.4949 -1.3218 1.9612
Li 0.8845 0.8888 1.9206
Li -2.0541 1.2754 2.4253
Li -3.4979 0.3401 4.8911
N 0.0000 0.0000 0.0000
Pt -1.0819 -1.1600 2.0386
Pt -1.5314 2.3889 4.7731
Sb -0.5593 -0.0465 4.3865

=====

[4]
6
Lattice="-3.6418 -0.6506 0.9686 0.6453 -3.9674 -0.2386 1.8819 -0.1148 6.9987" Properties=species:S:1:pos:R:3 comment="Sr2LiPtN2, optimized geometry, DFT GGA-PBE" total_magnetization_mub_per_fu=0.001 energy_ev_per_atom=-5.27 pbc="T T T"
Li 0.0000 0.0000 0.0000
N 0.3227 -1.9837 -0.1193
N -0.8799 -0.3827 3.9836
Pt 0.9409 -0.0574 3.4993
Sr -1.0352 -2.3372 2.0869
Sr -0.0793 -2.3956 5.6418

=====

[5]
16
Lattice="3.0088 1.7371 6.5188 -3.0088 1.7371 6.5188 0.0000 -3.4742 6.5188" Properties=species:S:1:pos:R:3 comment="SrLi3PtN3, optimized geometry, DFT GGA-PBE" total_magnetization_mub_per_fu=0.003 energy_ev_per_atom=-5.06 pbc="T T T"
Li 0.6319 2.0023 9.1938
Li -1.4181 1.5484 10.3626
Li 2.0500 0.4539 10.3626
Li -2.0500 -0.4539 9.1938
Li 1.4181 -1.5484 9.1938
Li -0.6319 -2.0023 10.3626
N -1.0943 1.7928 8.2510
N 1.0054 1.8441 11.3054
N 2.0998 0.0513 8.2510
N -2.0998 -0.0513 11.3054
N -1.0054 -1.8441 8.2510
N 1.0943 -1.7928 11.3054
Pt 0.0000 0.0000 1.6006
Pt 0.0000 0.0000 17.9557
Sr 0.0000 0.0000 6.6665
Sr 0.0000 0.0000 12.8899

=====

[6]
6
Lattice="-1.7493 2.1720 5.3977 1.7493 -2.1720 5.3977 1.7493 2.1720 -5.3977" Properties=species:S:1:pos:R:3 comment="LiPu2N3, optimized geometry, DFT GGA-PBE" total_magnetization_mub_per_fu=8.000 energy_ev_per_atom=-10.34 pbc="T T T"
Li 0.0000 0.0000 0.0000
N 0.0000 2.1720 0.0000
N 0.0000 2.1720 3.1509
N 1.7493 0.0000 2.2467
Pu 0.0000 0.0000 3.7349
Pu 0.0000 0.0000 7.0605

=====

[7]
8
Lattice="-2.1415 2.1415 5.5047 2.1415 -2.1415 5.5047 2.1415 2.1415 -5.5047" Properties=species:S:1:pos:R:3 comment="LiPuN2, optimized geometry, DFT GGA-PBE" total_magnetization_mub_per_fu=3.001 energy_ev_per_atom=-9.20 pbc="T T T"
Li 0.0000 0.0000 5.5047
Li 2.1415 0.0000 2.7524
N 0.0000 0.0000 2.2756
N 0.0000 0.0000 8.7339
N 0.0000 2.1415 0.4768
N 0.0000 2.1415 5.0279
Pu 0.0000 0.0000 0.0000
Pu 0.0000 2.1415 2.7524

=====

[8]
9
Lattice="5.2622 0.0000 0.0000 -2.6311 4.5572 0.0000 0.0000 0.0000 5.1173" Properties=species:S:1:pos:R:3 comment="LiRe3N5, optimized geometry, DFT GGA-PBE" total_magnetization_mub_per_fu=0.051 energy_ev_per_atom=-8.03 pbc="T T T"
Li 0.0000 0.0000 0.0000
N 2.6311 1.5191 1.2304
N 0.0000 3.0381 1.2304
N 0.0000 0.0000 2.5587
N 2.6311 1.5191 3.8869
N 0.0000 3.0381 3.8869
Re 2.6311 0.0000 2.5587
Re -1.3155 2.2786 2.5587
Re 1.3155 2.2786 2.5587

=====

What did the third record say?
8
Lattice="-0.1716 -3.5568 1.7251 3.1614 0.9132 2.1974 -4.1082 2.5507 4.8505" Properties=species:S:1:pos:R:3 comment="Li4SbPt2N, optimized geometry, DFT GGA-PBE" total_magnetization_mub_per_fu=0.000 energy_ev_per_atom=-4.22 pbc="T T T"
Li 1.4949 -1.3218 1.9612
Li 0.8845 0.8888 1.9206
Li -2.0541 1.2754 2.4253
Li -3.4979 0.3401 4.8911
N 0.0000 0.0000 0.0000
Pt -1.0819 -1.1600 2.0386
Pt -1.5314 2.3889 4.7731
Sb -0.5593 -0.0465 4.3865